! Be17CoRh (PBE, optimized geometry); values from VASP
&SYSTEM
  ibrav = 0, nat = 19, ntyp = 3
/
ATOMIC_SPECIES
Be 9.01 Be.upf
Co 58.93 Co.upf
Rh 102.91 Rh.upf
ATOMIC_POSITIONS crystal
Be 0.307 0.004 0.691
Be 0.691 0.307 0.004
Be 0.004 0.691 0.307
Be 0.307 0.691 0.004
Be 0.004 0.307 0.691
Be 0.691 0.004 0.307
Be 0.347 0.845 0.347
Be 0.347 0.347 0.845
Be 0.845 0.347 0.347
Be 0.650 0.165 0.650
Be 0.650 0.650 0.165
Be 0.165 0.650 0.650
Be 0.001 0.499 0.001
Be 0.001 0.001 0.499
Be 0.499 0.001 0.001
Be 0.901 0.901 0.901
Be 0.101 0.101 0.101
Co 0.321 0.321 0.321
Rh 0.670 0.670 0.670
CELL_PARAMETERS angstrom
5.400 0.058 0.702
0.624 5.364 0.702
0.065 0.058 5.445
! Final energy, eV per atom: -4.25
! Energy of formation, eV per atom: -0.154

! TlCrP2Se (PBE, optimized geometry); values from VASP
&SYSTEM
  ibrav = 0, nat = 5, ntyp = 4
/
ATOMIC_SPECIES
Cr 52.00 Cr.upf
Tl 204.38 Tl.upf
Se 78.96 Se.upf
P 30.97 P.upf
ATOMIC_POSITIONS crystal
Cr 0.500 0.500 0.500
Tl 0.000 0.000 0.000
Se 0.000 0.500 0.000
P 0.000 0.000 0.500
P 0.500 0.000 0.000
CELL_PARAMETERS angstrom
-4.008 2.986 -0.615
-2.894 -4.184 -1.447
-1.304 -0.760 4.805
! Final energy, eV per atom: -3.35

! BaCaAl2 (PBE, optimized geometry); values from VASP
&SYSTEM
  ibrav = 0, nat = 8, ntyp = 3
/
ATOMIC_SPECIES
Ba 137.33 Ba.upf
Ca 40.08 Ca.upf
Al 26.98 Al.upf
ATOMIC_POSITIONS crystal
Ba 0.401 0.802 0.750
Ba 0.599 0.198 0.250
Ca 0.868 0.736 0.250
Ca 0.132 0.264 0.750
Al 0.249 0.497 0.417
Al 0.751 0.503 0.583
Al 0.249 0.497 0.083
Al 0.751 0.503 0.917
CELL_PARAMETERS angstrom
-2.089 -1.944 3.503
7.884 -3.774 -0.320
2.804 5.459 4.703
! Relative energy among the computed polymorphs, eV per formula unit: 0.00
! Final energy, eV per atom: -3.04
! Energy of formation, eV per atom: -0.186